one) The following is a GGA-PBEsol calculation of AlMo2 after structural relaxation, from the Alexandria database.

Cell lengths 4.4000, 4.4000, 2.6900 Å; angles 90.00, 90.00, 120.00 degrees
Space group P-3m1 (No. 164)
Inequivalent atoms, fractional coordinates:
Al 0.0000 0.0000 0.0000
Mo 0.3333 0.6667 0.6229

---

two) The following is a GGA-PBEsol calculation of AlMo2 after structural relaxation, from the Alexandria database.

Cell lengths 9.6139, 3.2384, 6.1287 Å; angles 90.00, 108.94, 90.00 degrees
Space group C2/m (No. 12)
Inequivalent atoms, fractional coordinates:
Al 0.1665 0.0000 0.3273
Mo 0.0000 0.5000 0.0000
Mo 0.0000 0.5000 0.5000
Mo 0.1601 0.0000 0.8333

---

Of them, two) has the lowest stability.

---

one) The following is a GGA-PBEsol calculation of AlMo2 after structural relaxation, from the Alexandria database.

Cell lengths 10.5947, 2.6224, 6.7813 Å; angles 90.00, 104.11, 90.00 degrees
Space group C2/m (No. 12)
Inequivalent atoms, fractional coordinates:
Al 0.1335 0.0000 0.0196
Mo 0.0346 0.5000 0.3118
Mo 0.2005 0.0000 0.6588

---

two) The following is a GGA-PBEsol calculation of AlMo2 after structural relaxation, from the Alexandria database.

Cell lengths 4.5024, 4.5024, 5.3228 Å; angles 90.00, 90.00, 120.00 degrees
Space group P6_3/mmc (No. 194)
Inequivalent atoms, fractional coordinates:
Al 0.0000 0.0000 0.2500
Mo 0.3333 0.6667 0.0209

---

Of them, two) has the lowest stability.

---

one) The following is a GGA-PBEsol calculation of AlMoP2 after structural relaxation, from the Alexandria database.

Cell lengths 4.4946, 4.4946, 5.4235 Å; angles 90.00, 90.00, 90.00 degrees
Space group I4/mmm (No. 139)
Inequivalent atoms, fractional coordinates:
Al 0.0000 0.0000 0.0000
Mo 0.0000 0.0000 0.5000
P 0.0000 0.5000 0.2500

---

two) The following is a GGA-PBEsol calculation of AlMoP2 after structural relaxation, from the Alexandria database.

Cell lengths 8.0921, 3.0852, 4.6566 Å; angles 90.00, 94.86, 90.00 degrees
Space group C2/m (No. 12)
Inequivalent atoms, fractional coordinates:
Al 0.0000 0.0000 0.0000
Mo 0.0000 0.5000 0.5000
P 0.2254 0.0000 0.7057

---

Of them, one) has the lowest stability.